[1]
Below is a relaxed structure of BaEuInSn, with properties calculated at the PBE-GGA level.

Density of states at the Fermi level   10.26 states/eV per cell
M_tot   7.3 μB/f.u.
Energy of formation from the pure elements   -0.4864 eV per atom
Density   6.252 g cm⁻³

a = 5.813 Å, b = 5.813 Å, c = 5.813 Å
α = 60.00°, β = 60.00°, γ = 60.00°
Site moments in Bohr magnetons follow the coordinates.
Atoms (fractional coordinates):
Eu (0.750, 0.750, 0.750)  6.89
In (0.000, 0.000, 0.000)  0.05
Ba (0.250, 0.250, 0.250)  0.02
Sn (0.500, 0.500, 0.500)  -0.02

***

[2]
Below is a relaxed structure of K2Mo3, with properties calculated at the PBE-GGA level.

Density of states at the Fermi level   6.40 states/eV per cell
M_tot   0.0 μB/f.u.
Energy of formation from the pure elements   0.8983 eV per atom
Density   3.579 g cm⁻³

a = 4.359 Å, b = 4.359 Å, c = 10.321 Å
α = 90.00°, β = 90.00°, γ = 120.00°
Atoms (fractional coordinates):
K (0.667, 0.333, 0.699)
K (0.333, 0.667, 0.301)
Mo (0.000, 0.000, 0.000)
Mo (0.667, 0.333, 0.058)
Mo (0.333, 0.667, 0.942)

***

[3]
Below is a relaxed structure of K2RbSb, with properties calculated at the PBE-GGA level.

Density of states at the Fermi level   1.07 states/eV per cell
Uncorrected formation energy   -0.13 eV/atom
M_tot   0.0 μB/f.u.
Density   2.405 g cm⁻³

a = 5.723 Å, b = 5.723 Å, c = 12.695 Å
α = 76.97°, β = 76.97°, γ = 90.00°
Atoms (fractional coordinates):
Sb (0.000, 0.000, 0.000)
Sb (0.750, 0.250, 0.500)
K (0.676, 0.125, 0.250)
K (0.074, 0.625, 0.250)
K (0.375, 0.324, 0.750)
K (0.875, 0.926, 0.750)
Rb (0.500, 0.500, 0.000)
Rb (0.250, 0.750, 0.500)

***

[4]
Below is a relaxed structure of Mg2AlCl2, with properties calculated at the PBE-GGA level.

Density of states at the Fermi level   3.04 states/eV per cell
Uncorrected formation energy   -0.31 eV/atom
M_tot   0.0 μB/f.u.
Density   2.048 g cm⁻³

a = 5.240 Å, b = 5.240 Å, c = 5.697 Å
α = 62.62°, β = 62.62°, γ = 90.00°
Atoms (fractional coordinates):
Mg (0.750, 0.250, 0.500)
Mg (0.250, 0.750, 0.500)
Al (0.000, 0.000, 0.000)
Cl (0.320, 0.320, 0.361)
Cl (0.680, 0.680, 0.639)

***

[5]
Below is a relaxed structure of Na3SmDy2O6, with properties calculated at the PBE-GGA level.

Density of states at the Fermi level   0.00 states/eV per cell
Uncorrected formation energy   -2.76 eV/atom
M_tot   0.0 μB/f.u.
Density   6.094 g cm⁻³

a = 6.001 Å, b = 6.001 Å, c = 5.942 Å
α = 99.68°, β = 99.68°, γ = 120.01°
Atoms (fractional coordinates):
Na (0.170, 0.830, 0.500)
Na (0.830, 0.170, 0.500)
Na (0.500, 0.500, 0.500)
Sm (0.000, 0.000, 0.000)
Dy (0.333, 0.667, 0.000)
Dy (0.667, 0.333, 0.000)
O (0.929, 0.589, 0.788)
O (0.731, 0.731, 0.213)
O (0.071, 0.411, 0.212)
O (0.589, 0.929, 0.788)
O (0.269, 0.269, 0.787)
O (0.411, 0.071, 0.212)

***

[6]
Below is a relaxed structure of KBr2Cl6, with properties calculated at the PBE-GGA level.

Density of states at the Fermi level   6.15 states/eV per cell
Uncorrected formation energy   -0.42 eV/atom
M_tot   1.0 μB/f.u.
Density   1.892 g cm⁻³

a = 8.970 Å, b = 8.970 Å, c = 11.207 Å
α = 119.04°, β = 112.50°, γ = 85.15°
Site moments in Bohr magnetons follow the coordinates.
Atoms (fractional coordinates):
K (0.471, 0.221, 0.250)  0.00
K (0.529, 0.779, 0.750)  0.00
Br (0.659, 0.397, 0.965)  0.19
Br (0.932, 0.693, 0.535)  0.19
Br (0.341, 0.603, 0.035)  0.19
Br (0.068, 0.307, 0.465)  0.19
Cl (0.559, 0.171, 0.985)  0.08
Cl (0.686, 0.575, 0.515)  0.08
Cl (0.441, 0.829, 0.015)  0.08
Cl (0.314, 0.425, 0.485)  0.08
Cl (0.536, 0.089, 0.609)  0.00
Cl (0.980, 0.927, 0.891)  0.00
Cl (0.464, 0.911, 0.391)  0.00
Cl (0.020, 0.073, 0.109)  0.00
Cl (0.766, 0.611, 0.951)  0.11
Cl (0.160, 0.815, 0.549)  0.11
Cl (0.234, 0.389, 0.049)  0.11
Cl (0.840, 0.185, 0.451)  0.11

***

[7]
Below is a relaxed structure of SrHgMo2, with properties calculated at the PBE-GGA level.

Density of states at the Fermi level   10.12 states/eV per cell
M_tot   0.0 μB/f.u.
Energy of formation from the pure elements   0.9759 eV per atom
Density   8.297 g cm⁻³

a = 4.245 Å, b = 4.245 Å, c = 11.080 Å
α = 78.96°, β = 78.96°, γ = 90.00°
Atoms (fractional coordinates):
Sr (0.500, 0.500, 0.000)
Sr (0.250, 0.750, 0.500)
Mo (0.717, 0.125, 0.250)
Mo (0.033, 0.625, 0.250)
Mo (0.375, 0.283, 0.750)
Mo (0.875, 0.967, 0.750)
Hg (0.000, 0.000, 0.000)
Hg (0.750, 0.250, 0.500)

***

[8]
Below is a relaxed structure of SrTb4DySe8, with properties calculated at the PBE-GGA level.

Density of states at the Fermi level   3.80 states/eV per cell
Uncorrected formation energy   -1.80 eV/atom
M_tot   0.0 μB/f.u.
Density   5.693 g cm⁻³

a = 8.559 Å, b = 8.559 Å, c = 8.550 Å
α = 59.97°, β = 59.97°, γ = 60.00°
Atoms (fractional coordinates):
Sr (0.375, 0.375, 0.874)
Tb (0.625, 0.625, 0.125)
Tb (0.002, 0.494, 0.502)
Tb (0.494, 0.002, 0.502)
Tb (0.002, 0.002, 0.502)
Dy (0.002, 0.002, 0.994)
Se (0.236, 0.790, 0.738)
Se (0.790, 0.236, 0.738)
Se (0.236, 0.236, 0.738)
Se (0.237, 0.237, 0.290)
Se (0.758, 0.227, 0.257)
Se (0.227, 0.758, 0.257)
Se (0.758, 0.758, 0.257)
Se (0.758, 0.758, 0.727)

***

[9]
Below is a relaxed structure of Pu4PC2, with properties calculated at the PBE-GGA level.

Density of states at the Fermi level   50.19 states/eV per cell
M_tot   10.5 μB/f.u.
Energy of formation from the pure elements   -0.2399 eV per atom
Density   13.096 g cm⁻³

a = 3.723 Å, b = 6.338 Å, c = 11.592 Å
α = 90.00°, β = 90.00°, γ = 107.08°
Site moments in Bohr magnetons follow the coordinates.
Atoms (fractional coordinates):
Pu (0.774, 0.548, 0.120)  4.92
Pu (0.774, 0.548, 0.380)  4.92
Pu (0.226, 0.452, 0.880)  4.92
Pu (0.226, 0.452, 0.620)  4.92
Pu (0.915, 0.831, 0.750)  -4.62
Pu (0.085, 0.169, 0.250)  -4.62
Pu (0.500, 0.000, 0.000)  4.95
Pu (0.500, 0.000, 0.500)  4.95
P (0.588, 0.175, 0.750)  -0.06
P (0.412, 0.825, 0.250)  -0.06
C (0.139, 0.278, 0.447)  -0.10
C (0.861, 0.722, 0.947)  -0.10
C (0.139, 0.278, 0.053)  -0.10
C (0.861, 0.722, 0.553)  -0.10

***

[10]
Below is a relaxed structure of Li3Fe2Cl8, with properties calculated at the PBE-GGA level.

Density of states at the Fermi level   8.72 states/eV per cell
Uncorrected formation energy   -1.22 eV/atom
M_tot   9.0 μB/f.u.
Density   2.412 g cm⁻³

a = 6.442 Å, b = 7.518 Å, c = 7.332 Å
α = 59.16°, β = 72.91°, γ = 90.00°
Site moments in Bohr magnetons follow the coordinates.
Atoms (fractional coordinates):
Li (0.000, 0.000, 0.000)  0.01
Li (0.500, 0.265, 0.000)  0.01
Li (0.500, 0.735, 0.000)  0.01
Fe (0.129, 0.683, 0.633)  3.62
Fe (0.871, 0.317, 0.367)  3.62
Cl (0.244, 0.375, 0.251)  0.13
Cl (0.756, 0.625, 0.749)  0.13
Cl (0.258, 0.879, 0.243)  0.10
Cl (0.742, 0.121, 0.757)  0.10
Cl (0.250, 0.870, 0.755)  0.13
Cl (0.250, 0.375, 0.755)  0.13
Cl (0.750, 0.625, 0.245)  0.13
Cl (0.750, 0.130, 0.245)  0.13

***

[11]
Below is a relaxed structure of PaTcNiGe, with properties calculated at the PBE-GGA level.

Density of states at the Fermi level   5.19 states/eV per cell
M_tot   0.0 μB/f.u.
Energy of formation from the pure elements   -0.1782 eV per atom
Density   11.264 g cm⁻³

a = 4.579 Å, b = 4.579 Å, c = 4.579 Å
α = 60.00°, β = 60.00°, γ = 60.00°
Atoms (fractional coordinates):
Ni (0.500, 0.500, 0.500)
Ge (0.250, 0.250, 0.250)
Pa (0.750, 0.750, 0.750)
Tc (0.000, 0.000, 0.000)

***

[12]
Below is a relaxed structure of BeHg3, with properties calculated at the PBE-GGA level.

Density of states at the Fermi level   1.18 states/eV per cell
M_tot   0.0 μB/f.u.
Energy of formation from the pure elements   0.2173 eV per atom
Density   8.742 g cm⁻³

a = 4.877 Å, b = 4.877 Å, c = 4.877 Å
α = 90.00°, β = 90.00°, γ = 90.00°
Atoms (fractional coordinates):
Be (0.000, 0.000, 0.000)
Hg (0.500, 0.000, 0.000)
Hg (0.000, 0.500, 0.000)
Hg (0.000, 0.000, 0.500)

***

> Look up the density of the seventh one.

8.297 g cm⁻³